The following is a GGA+U calculation of crystalline RbCeCrO4 at its relaxed geometry, from Alexandria.

The structure in POSCAR format:
```
RbCeCrO4
1.0
-3.238 3.702 4.682
3.238 -3.702 4.682
3.238 3.702 -4.682
Rb Ce Cr O
2 2 2 8
Cartesian
0.000 1.851 1.422
3.238 1.851 3.260
3.238 0.000 0.000
0.000 0.000 4.682
1.619 1.851 -2.341
1.619 -1.851 2.341
3.238 -0.536 2.203
3.238 3.166 -2.203
1.886 1.851 -0.262
4.590 1.851 -0.262
-1.352 1.851 4.943
1.352 1.851 4.943
0.000 0.536 6.885
0.000 4.238 2.478
```

DFT total energy (eV/cell): -100.89
Symmetry: Imma (74)
Calculated volume (Å³/atom): 16.04